(1)
A relaxed structure of Ac2InSn4Pd3. Source: the Alexandria database, functional PBE.

Lattice parameters (Å, degrees): 4.631 4.631 11.633 90.00 90.00 90.00
Fractional positions:
Pd 0.500 0.000 0.872
Pd 0.000 0.500 0.128
Pd 0.000 0.000 0.500
Sn 0.500 0.500 0.000
Sn 0.500 0.000 0.645
Sn 0.000 0.000 0.000
Sn 0.000 0.500 0.355
Ac 0.500 0.000 0.243
Ac 0.000 0.500 0.757
In 0.500 0.500 0.500

- Total energy: -49.77 eV for the cell shown
- SG: P-4m2 (115)
- E_form: -0.722 eV per atom

(2)
A relaxed structure of Pr8MgAg2. Source: the Alexandria database, functional PBE.

Lattice parameters (Å, degrees): 5.572 8.756 8.776 118.80 108.51 90.00
Fractional positions:
Pr 0.931 0.273 0.863
Pr 0.857 0.795 0.714
Pr 0.069 0.727 0.137
Pr 0.143 0.205 0.286
Pr 0.401 0.539 0.802
Pr 0.316 0.043 0.632
Pr 0.599 0.461 0.198
Pr 0.684 0.957 0.368
Ag 0.771 0.374 0.542
Ag 0.229 0.626 0.458
Mg 0.500 0.000 0.000

- Polymorph energy (0 for the lowest one): 0 meV/atom
- Total energy: -46.38 eV for the cell shown
- SG: C2/m (12)
- E_form: -0.077 eV per atom

(3)
A relaxed structure of Ac2Hg2Ge3. Source: the Alexandria database, functional PBE.

Lattice parameters (Å, degrees): 8.026 8.026 8.026 109.47 109.47 109.47
Fractional positions:
Hg 0.394 0.500 0.000
Hg 0.000 0.000 0.894
Hg 0.106 0.606 0.606
Hg 0.500 0.894 0.500
Ge 0.997 0.247 0.250
Ge 0.503 0.253 0.750
Ge 0.750 0.497 0.247
Ge 0.753 0.750 0.003
Ge 0.747 0.250 0.497
Ge 0.250 0.003 0.253
Ac 0.507 0.007 0.007
Ac 0.500 0.493 0.500
Ac 0.000 0.000 0.493
Ac 0.993 0.500 0.000

- Total energy: -50.60 eV for the cell shown
- SG: I2_13 (199)
- E_form: -0.375 eV per atom

(4)
A relaxed structure of Li3MnGa6. Source: the Alexandria database, functional PBE.

Lattice parameters (Å, degrees): 7.293 4.976 4.976 83.91 78.12 78.12
Site moments in Bohr magnetons follow the coordinates.
Fractional positions:
Ga 0.125 0.608 0.608  -0.03
Ga 0.875 0.392 0.392  -0.03
Ga 0.360 0.704 0.080  -0.03
Ga 0.640 0.920 0.296  -0.03
Ga 0.640 0.296 0.920  -0.03
Ga 0.360 0.080 0.704  -0.03
Mn 0.500 0.500 0.500  2.87
Li 0.745 0.774 0.774  -0.01
Li 0.255 0.226 0.226  -0.01
Li 0.000 0.000 0.000  0.02

- Total energy: -34.12 eV for the cell shown
- SG: C2/m (12)
- E_form: -0.105 eV per atom

(5)
A relaxed structure of SrNb2SnMo. Source: the Alexandria database, functional PBE.

Lattice parameters (Å, degrees): 4.952 5.335 4.952 90.00 90.00 90.00
Fractional positions:
Nb 0.000 0.000 0.500
Nb 0.500 0.000 0.000
Sn 0.000 0.500 0.000
Mo 0.000 0.000 0.000
Sr 0.500 0.500 0.500

- Total energy: -33.06 eV for the cell shown
- SG: P4/mmm (123)
- E_form: 0.719 eV per atom

(6)
A relaxed structure of ScZn4Au. Source: the Alexandria database, functional PBE.

Lattice parameters (Å, degrees): 4.425 4.426 5.795 90.10 90.02 119.97
Fractional positions:
Zn 0.670 0.832 0.747
Zn 0.337 0.165 0.747
Zn 0.671 0.834 0.250
Zn 0.338 0.167 0.249
Sc 0.004 0.499 0.998
Au 0.004 0.499 0.498

- Polymorph energy (0 for the lowest one): 0 meV/atom
- Total energy: -16.65 eV for the cell shown
- SG: C2/m (12)
- E_form: -0.323 eV per atom

(7)
A relaxed structure of Ce2PuReN5. Source: the Alexandria database, functional PBE.

Lattice parameters (Å, degrees): 6.631 6.631 7.427 116.51 116.51 90.00
Site moments in Bohr magnetons follow the coordinates.
Fractional positions:
N 0.508 0.702 0.710  -0.02
N 0.492 0.298 0.290  -0.02
N 0.000 0.000 0.000  -0.03
N 0.202 0.008 0.710  -0.02
N 0.798 0.992 0.290  -0.02
N 0.500 0.500 0.000  -0.03
N 0.992 0.492 0.290  -0.02
N 0.702 0.202 0.710  -0.02
N 0.298 0.798 0.290  -0.02
N 0.008 0.508 0.710  -0.02
Ce 0.173 0.327 0.000  0.01
Ce 0.827 0.673 0.000  0.01
Ce 0.673 0.173 0.000  0.01
Ce 0.327 0.827 0.000  0.01
Re 0.250 0.750 0.500  0.00
Re 0.750 0.250 0.500  0.00
Pu 0.750 0.750 0.500  5.14
Pu 0.250 0.250 0.500  5.14

- Total energy: -178.48 eV for the cell shown
- SG: I4/mcm (140)
- ΔE_f (raw): -1.00 eV per atom

(8)
A relaxed structure of CsAlF2. Source: the Alexandria database, functional PBE.

Lattice parameters (Å, degrees): 7.585 7.585 7.585 135.24 135.24 65.16
Fractional positions:
Al 0.250 0.750 0.500
Al 0.500 0.500 0.000
Cs 0.000 0.000 0.000
Cs 0.750 0.250 0.500
F 0.875 0.756 0.381
F 0.375 0.494 0.619
F 0.244 0.625 0.119
F 0.506 0.125 0.881

- Polymorph energy (0 for the lowest one): 229 meV/atom
- Total energy: -31.68 eV for the cell shown
- SG: I-42d (122)
- ΔE_f (raw): -1.87 eV per atom

(9)
A relaxed structure of Ca3TaTc. Source: the Alexandria database, functional PBE.

Lattice parameters (Å, degrees): 5.266 5.266 5.266 90.00 90.00 90.00
Fractional positions:
Ca 0.500 0.000 0.000
Ca 0.000 0.000 0.500
Ca 0.000 0.500 0.000
Tc 0.000 0.000 0.000
Ta 0.500 0.500 0.500

- Polymorph energy (0 for the lowest one): 0 meV/atom
- Total energy: -20.94 eV for the cell shown
- SG: Pm-3m (221)
- E_form: 1.456 eV per atom

(10)
A relaxed structure of Na3ZrRh3O8. Source: the Alexandria database, functional PBE.

Lattice parameters (Å, degrees): 6.203 6.203 6.621 117.94 90.00 120.00
Fractional positions:
Na 0.000 0.000 0.000
Na 0.500 0.500 0.000
Na 0.000 0.500 0.000
O 0.764 0.031 0.294
O 0.236 0.969 0.706
O 0.733 0.969 0.706
O 0.764 0.527 0.294
O 0.267 0.031 0.294
O 0.236 0.473 0.706
O 0.270 0.539 0.309
O 0.730 0.461 0.691
Rh 0.500 0.500 0.500
Rh 0.500 0.000 0.500
Rh 0.000 0.500 0.500
Zr 0.000 0.000 0.500

- Total energy: -96.34 eV for the cell shown
- SG: R-3m (166)
- ΔE_f (raw): -1.47 eV per atom

(11)
A relaxed structure of TbPm2PrTe5. Source: the Alexandria database, functional PBE.

Lattice parameters (Å, degrees): 5.552 5.552 11.893 90.00 90.00 90.00
Site moments in Bohr magnetons follow the coordinates.
Fractional positions:
Pm 0.500 0.500 0.348  0.16
Pm 0.500 0.500 0.652  0.16
Pr 0.000 0.000 0.000  0.01
Te 0.500 0.000 0.500  0.00
Te 0.000 0.000 0.250  0.00
Te 0.000 0.000 0.750  0.00
Te 0.000 0.500 0.500  0.00
Te 0.500 0.500 0.000  0.01
Tb 0.000 0.000 0.500  0.02

- Total energy: -41.85 eV for the cell shown
- SG: P4/mmm (123)
- ΔE_f (raw): -0.80 eV per atom

(12)
A relaxed structure of NiSbPS2. Source: the Alexandria database, functional PBE.

Lattice parameters (Å, degrees): 4.964 4.964 5.079 90.00 90.00 90.00
Site moments in Bohr magnetons follow the coordinates.
Fractional positions:
Sb 0.000 0.000 0.000  0.00
S 0.500 0.000 0.000  0.13
S 0.000 0.500 0.000  0.13
P 0.000 0.000 0.500  0.30
Ni 0.500 0.500 0.500  1.09

- Polymorph energy (0 for the lowest one): 870 meV/atom
- Total energy: -17.58 eV for the cell shown
- SG: P4/mmm (123)
- ΔE_f (raw): 1.20 eV per atom

(13)
A relaxed structure of KSiGeSb2. Source: the Alexandria database, functional PBE.

Lattice parameters (Å, degrees): 5.394 5.758 5.394 90.00 90.00 90.00
Site moments in Bohr magnetons follow the coordinates.
Fractional positions:
Si 0.500 0.500 0.500  0.23
K 0.000 0.500 0.000  0.01
Sb 0.500 0.000 0.000  -0.06
Sb 0.000 0.000 0.500  -0.03
Ge 0.000 0.000 0.000  0.06

- Total energy: -15.43 eV for the cell shown
- SG: P4/mmm (123)
- ΔE_f (raw): 0.79 eV per atom

(14)
A relaxed structure of Ce2GaFe. Source: the Alexandria database, functional PBE.

Lattice parameters (Å, degrees): 3.572 3.572 6.589 90.00 90.00 90.00
Site moments in Bohr magnetons follow the coordinates.
Fractional positions:
Fe 0.500 0.500 0.000  1.03
Ce 0.000 0.000 0.783  -0.35
Ce 0.000 0.000 0.217  -0.35
Ga 0.500 0.500 0.500  -0.01

- Polymorph energy (0 for the lowest one): 147 meV/atom
- Total energy: -24.02 eV for the cell shown
- SG: P4/mmm (123)
- E_form: -0.166 eV per atom

(15)
A relaxed structure of TbDyHoTm3. Source: the Alexandria database, functional PBE.

Lattice parameters (Å, degrees): 4.958 7.848 9.915 90.00 90.00 108.41
Fractional positions:
Tm 0.167 0.333 0.750
Tm 0.667 0.334 0.000
Tm 0.667 0.334 0.500
Tm 0.333 0.666 0.000
Tm 0.833 0.667 0.250
Tm 0.333 0.666 0.500
Dy 0.501 0.001 0.750
Dy 0.499 0.999 0.250
Tb 0.833 0.666 0.750
Tb 0.167 0.334 0.250
Ho 0.000 0.000 0.000
Ho 0.000 0.000 0.500

- Total energy: -54.18 eV for the cell shown
- SG: Cmcm (63)
- E_form: 0.023 eV per atom

(16)
A relaxed structure of ZrCo3Pd. Source: the Alexandria database, functional PBE.

Lattice parameters (Å, degrees): 4.502 4.502 4.502 90.00 90.00 90.00
Site moments in Bohr magnetons follow the coordinates.
Fractional positions:
Co 0.000 0.000 0.500  2.24
Co 0.500 0.000 0.000  1.47
Co 0.000 0.500 0.000  1.77
Pd 0.000 0.000 0.000  0.49
Zr 0.500 0.500 0.500  -0.43

- Polymorph energy (0 for the lowest one): 0 meV/atom
- Total energy: -29.83 eV for the cell shown
- SG: Pm-3m (221)
- E_form: 1.046 eV per atom

(17)
A relaxed structure of MgBRu. Source: the Alexandria database, functional PBE.

Lattice parameters (Å, degrees): 3.006 5.758 9.103 90.00 90.00 90.00
Fractional positions:
Ru 0.250 0.001 0.750
Ru 0.750 0.499 0.250
Ru 0.250 0.501 0.750
Ru 0.750 0.999 0.250
Mg 0.250 0.250 0.031
Mg 0.250 0.750 0.469
Mg 0.750 0.750 0.969
Mg 0.750 0.250 0.531
B 0.750 0.751 0.697
B 0.250 0.249 0.303
B 0.750 0.251 0.803
B 0.250 0.749 0.197

- Polymorph energy (0 for the lowest one): 30 meV/atom
- Total energy: -72.86 eV for the cell shown
- SG: Cmcm (63)
- E_form: -0.222 eV per atom

(18)
A relaxed structure of BaSrBr2. Source: the Alexandria database, functional PBE.

Lattice parameters (Å, degrees): 4.497 4.497 7.533 90.00 90.00 90.00
Site moments in Bohr magnetons follow the coordinates.
Fractional positions:
Br 0.500 0.500 0.295  0.04
Br 0.000 0.000 0.980  0.03
Ba 0.500 0.500 0.819  0.24
Sr 0.000 0.000 0.406  0.15

- Polymorph energy (0 for the lowest one): 0 meV/atom
- Total energy: -12.95 eV for the cell shown
- SG: P4mm (99)
- ΔE_f (raw): -1.50 eV per atom

(19)
A relaxed structure of Ho3Mg2Cd6. Source: the Alexandria database, functional PBE.

Lattice parameters (Å, degrees): 4.376 4.376 14.660 98.58 98.58 90.00
Fractional positions:
Cd 0.315 0.315 0.630
Cd 0.612 0.112 0.225
Cd 0.112 0.612 0.225
Cd 0.685 0.685 0.370
Cd 0.888 0.388 0.775
Cd 0.388 0.888 0.775
Ho 0.000 0.000 0.000
Ho 0.206 0.206 0.413
Ho 0.794 0.794 0.587
Mg 0.548 0.548 0.095
Mg 0.452 0.452 0.905

- Total energy: -23.82 eV for the cell shown
- SG: I4/mmm (139)
- E_form: -0.128 eV per atom

no.,size of the total moment (μB/atom)
1,0.00
2,0.00
3,0.00
4,0.28
5,0.00
6,0.00
7,0.58
8,0.00
9,0.00
10,0.00
11,0.07
12,0.43
13,0.15
14,0.04
15,0.00
16,1.04
17,0.00
18,0.45
19,0.00